#1
{
  "formula": "Rb2CrF",
  "functional": "PBE+U",
  "state": "optimized geometry",
  "n_ef_per_ev_atom": 0.00,
  "m_tot_mub_per_fu": 5.00,
  "sg": "No. 225",
  "lattice": [[0.280, -1.166, 5.801], [-4.251, -3.216, 2.582], [1.167, -5.501, 1.862]],
  "species": ["Rb", "F", "Rb", "Cr"],
  "fractional_positions": [[0.250, 0.250, 0.250], [0.000, 0.000, 0.000], [0.750, 0.750, 0.750], [0.500, 0.500, 0.500]]
}

#2
{
  "formula": "Rb2CrF",
  "functional": "PBE+U",
  "state": "optimized geometry",
  "n_ef_per_ev_atom": 0.27,
  "m_tot_mub_per_fu": 5.05,
  "sg": "No. 122",
  "lattice": [[8.335, 0.000, 0.000], [0.000, 8.335, 0.000], [4.168, 4.168, 4.984]],
  "species": ["Rb", "F", "Rb", "Rb", "Cr", "F", "Rb", "Cr"],
  "fractional_positions": [[0.875, 0.761, 0.750], [0.500, 0.500, 0.000], [0.511, 0.125, 0.250], [0.375, 0.489, 0.750], [0.000, 0.000, 0.000], [0.250, 0.750, 0.500], [0.239, 0.625, 0.250], [0.750, 0.250, 0.500]]
}

Stability verdict: #2, ahead by 309 meV/atom

#1
{
  "formula": "RbCr2F6",
  "functional": "PBE+U",
  "state": "optimized geometry",
  "n_ef_per_ev_atom": 0.67,
  "m_tot_mub_per_fu": 7.00,
  "sg": "No. 162",
  "lattice": [[5.525, 0.000, 0.000], [-2.762, 4.785, 0.000], [0.000, 0.000, 6.015]],
  "species": ["F", "F", "F", "F", "Cr", "F", "Cr", "F", "Rb"],
  "fractional_positions": [[0.378, 0.000, 0.680], [0.000, 0.378, 0.680], [0.000, 0.622, 0.320], [0.378, 0.378, 0.320], [0.333, 0.667, 0.500], [0.622, 0.000, 0.320], [0.667, 0.333, 0.500], [0.622, 0.622, 0.680], [0.000, 0.000, 0.000]]
}

#2
{
  "formula": "RbCr2F6",
  "functional": "PBE+U",
  "state": "optimized geometry",
  "n_ef_per_ev_atom": 0.18,
  "m_tot_mub_per_fu": 7.00,
  "sg": "No. 12",
  "lattice": [[4.242, 0.000, 0.000], [2.121, 5.047, -0.152], [2.121, 1.912, 7.455]],
  "species": ["F", "F", "F", "F", "Cr", "Rb", "F", "Cr", "F"],
  "fractional_positions": [[0.309, 0.333, 0.048], [0.683, 0.322, 0.312], [0.691, 0.667, 0.952], [0.317, 0.678, 0.688], [0.168, 0.740, 0.923], [0.000, 0.500, 0.500], [0.993, 0.856, 0.158], [0.832, 0.260, 0.077], [0.007, 0.144, 0.842]]
}

Stability verdict: #2, ahead by 7 meV/atom

#1
{
  "formula": "Cr2ReF",
  "functional": "PBE+U",
  "state": "optimized geometry",
  "n_ef_per_ev_atom": 0.31,
  "m_tot_mub_per_fu": 5.89,
  "sg": "No. 122",
  "lattice": [[6.382, 0.000, 0.000], [0.000, 6.382, 0.000], [3.191, 3.191, 3.112]],
  "species": ["Cr", "F", "Cr", "Re", "F", "Re", "Cr", "Cr"],
  "fractional_positions": [[0.172, 0.625, 0.250], [0.250, 0.750, 0.500], [0.578, 0.125, 0.250], [0.750, 0.250, 0.500], [0.500, 0.500, 0.000], [0.000, 0.000, 0.000], [0.875, 0.828, 0.750], [0.375, 0.422, 0.750]]
}

#2
{
  "formula": "Cr2ReF",
  "functional": "PBE+U",
  "state": "optimized geometry",
  "n_ef_per_ev_atom": 0.29,
  "m_tot_mub_per_fu": 5.95,
  "sg": "No. 225",
  "lattice": [[-4.377, -0.557, 0.330], [-2.668, 3.523, 0.221], [-2.622, 1.008, -3.419]],
  "species": ["Cr", "F", "Cr", "Re"],
  "fractional_positions": [[0.250, 0.250, 0.250], [0.000, 0.000, 0.000], [0.750, 0.750, 0.750], [0.500, 0.500, 0.500]]
}

Stability verdict: #1, ahead by 174 meV/atom

#1
{
  "formula": "Cr2Re2F",
  "functional": "PBE+U",
  "state": "optimized geometry",
  "n_ef_per_ev_atom": 0.65,
  "m_tot_mub_per_fu": 0.22,
  "sg": "No. 127",
  "lattice": [[7.100, 0.000, 0.000], [0.000, 7.100, 0.000], [0.000, 0.000, 2.879]],
  "species": ["Re", "Cr", "Cr", "Re", "Re", "F", "Re", "F", "Cr", "Cr"],
  "fractional_positions": [[0.644, 0.144, 0.000], [0.643, 0.857, 0.500], [0.143, 0.643, 0.500], [0.144, 0.356, 0.000], [0.356, 0.856, 0.000], [0.500, 0.500, 0.000], [0.856, 0.644, 0.000], [0.000, 0.000, 0.000], [0.857, 0.357, 0.500], [0.357, 0.143, 0.500]]
}

#2
{
  "formula": "Cr2Re2F",
  "functional": "PBE+U",
  "state": "optimized geometry",
  "n_ef_per_ev_atom": 0.57,
  "m_tot_mub_per_fu": 1.10,
  "sg": "No. 139",
  "lattice": [[3.902, 0.000, 0.000], [0.000, 3.902, 0.000], [1.951, 1.951, 5.841]],
  "species": ["Re", "Re", "Cr", "F", "Cr"],
  "fractional_positions": [[0.380, 0.380, 0.240], [0.620, 0.620, 0.760], [0.250, 0.750, 0.500], [0.000, 0.000, 0.000], [0.750, 0.250, 0.500]]
}

Stability verdict: #1, ahead by 137 meV/atom

#1
{
  "formula": "CrRh2F",
  "functional": "PBE+U",
  "state": "optimized geometry",
  "n_ef_per_ev_atom": 0.92,
  "m_tot_mub_per_fu": 0.00,
  "sg": "No. 122",
  "lattice": [[6.343, 0.000, 0.000], [0.000, 6.343, 0.000], [3.171, 3.171, 2.772]],
  "species": ["Cr", "F", "Rh", "Cr", "Rh", "F", "Rh", "Rh"],
  "fractional_positions": [[0.750, 0.250, 0.500], [0.250, 0.750, 0.500], [0.121, 0.625, 0.250], [0.000, 0.000, 0.000], [0.375, 0.371, 0.750], [0.500, 0.500, 0.000], [0.629, 0.125, 0.250], [0.875, 0.879, 0.750]]
}

#2
{
  "formula": "CrRh2F",
  "functional": "PBE+U",
  "state": "optimized geometry",
  "n_ef_per_ev_atom": 1.44,
  "m_tot_mub_per_fu": 0.00,
  "sg": "No. 225",
  "lattice": [[0.000, 2.941, 2.941], [2.941, 0.000, 2.941], [2.941, 2.941, 0.000]],
  "species": ["F", "Rh", "Cr", "Rh"],
  "fractional_positions": [[0.000, 0.000, 0.000], [0.750, 0.750, 0.750], [0.500, 0.500, 0.500], [0.250, 0.250, 0.250]]
}

Stability verdict: #1, ahead by 10 meV/atom

#1
{
  "formula": "Cr2RhF",
  "functional": "PBE+U",
  "state": "optimized geometry",
  "n_ef_per_ev_atom": 0.22,
  "m_tot_mub_per_fu": 8.02,
  "sg": "No. 122",
  "lattice": [[-0.158, 2.951, 5.564], [-6.233, 0.728, -0.564], [-3.662, -0.996, 3.991]],
  "species": ["Cr", "Rh", "F", "Cr", "F", "Rh", "Cr", "Cr"],
  "fractional_positions": [[0.174, 0.625, 0.250], [0.000, 0.000, 0.000], [0.500, 0.500, 0.000], [0.576, 0.125, 0.250], [0.250, 0.750, 0.500], [0.750, 0.250, 0.500], [0.375, 0.424, 0.750], [0.875, 0.826, 0.750]]
}

#2
{
  "formula": "Cr2RhF",
  "functional": "PBE+U",
  "state": "optimized geometry",
  "n_ef_per_ev_atom": 1.04,
  "m_tot_mub_per_fu": 0.99,
  "sg": "No. 225",
  "lattice": [[0.000, 3.038, 3.038], [3.038, 0.000, 3.038], [3.038, 3.038, 0.000]],
  "species": ["Cr", "Rh", "Cr", "F"],
  "fractional_positions": [[0.250, 0.250, 0.250], [0.500, 0.500, 0.500], [0.750, 0.750, 0.750], [0.000, 0.000, 0.000]]
}

Stability verdict: #1, ahead by 1127 meV/atom

#1
{
  "formula": "Cr3RhF",
  "functional": "PBE+U",
  "state": "optimized geometry",
  "n_ef_per_ev_atom": 0.87,
  "m_tot_mub_per_fu": 13.80,
  "sg": "No. 221",
  "lattice": [[4.955, 0.000, 0.000], [0.000, 4.955, 0.000], [0.000, 0.000, 4.955]],
  "species": ["Cr", "F", "Rh", "Cr", "Cr"],
  "fractional_positions": [[0.500, 0.000, 0.000], [0.500, 0.500, 0.500], [0.000, 0.000, 0.000], [0.000, 0.000, 0.500], [0.000, 0.500, 0.000]]
}

#2
{
  "formula": "Cr3RhF",
  "functional": "PBE+U",
  "state": "optimized geometry",
  "n_ef_per_ev_atom": 0.82,
  "m_tot_mub_per_fu": 13.22,
  "sg": "No. 221",
  "lattice": [[4.341, 0.000, 0.000], [0.000, 4.341, 0.000], [0.000, 0.000, 4.341]],
  "species": ["Cr", "Cr", "Rh", "F", "Cr"],
  "fractional_positions": [[0.500, 0.000, 0.000], [0.000, 0.000, 0.500], [0.500, 0.500, 0.500], [0.000, 0.000, 0.000], [0.000, 0.500, 0.000]]
}

Stability verdict: #2, ahead by 520 meV/atom

#1
{
  "formula": "CrRu2F",
  "functional": "PBE+U",
  "state": "optimized geometry",
  "n_ef_per_ev_atom": 1.29,
  "m_tot_mub_per_fu": 0.00,
  "sg": "No. 225",
  "lattice": [[0.160, 1.941, 3.662], [1.535, 3.846, 0.243], [-2.529, 3.198, 0.765]],
  "species": ["F", "Ru", "Cr", "Ru"],
  "fractional_positions": [[0.000, 0.000, 0.000], [0.250, 0.250, 0.250], [0.500, 0.500, 0.500], [0.750, 0.750, 0.750]]
}

#2
{
  "formula": "CrRu2F",
  "functional": "PBE+U",
  "state": "optimized geometry",
  "n_ef_per_ev_atom": 1.21,
  "m_tot_mub_per_fu": 0.00,
  "sg": "No. 122",
  "lattice": [[6.296, 0.000, 0.000], [0.000, 6.296, 0.000], [3.148, 3.148, 2.699]],
  "species": ["Ru", "Cr", "Ru", "Ru", "Ru", "Cr", "F", "F"],
  "fractional_positions": [[0.375, 0.382, 0.750], [0.750, 0.250, 0.500], [0.618, 0.125, 0.250], [0.132, 0.625, 0.250], [0.875, 0.868, 0.750], [0.000, 0.000, 0.000], [0.500, 0.500, 0.000], [0.250, 0.750, 0.500]]
}

Stability verdict: #1, ahead by 87 meV/atom